A plane-wave DFT calculation with PBE was carried out for a geometry-optimized Pr3Er4Sc2 structure.

Calculated values
D(E_F) ... 15.391 states/eV/f.u.
SG ... C2/c (15)
Energy of formation from the pure elements ... 0.148 eV per atom

Cell: 6.156 9.704 9.704 Å, 81.64 87.34 87.34°
Positions (direct):
Er 0.612 0.348 0.218
Er 0.112 0.218 0.348
Pr 0.102 0.123 0.684
Er 0.075 0.836 0.973
Pr 0.898 0.877 0.316
Er 0.575 0.973 0.836
Sc 0.868 0.498 0.881
Er 0.925 0.164 0.027
Sc 0.368 0.881 0.498
Sc 0.132 0.502 0.119
Pr 0.398 0.316 0.877
Pr 0.750 0.447 0.553
Pr 0.602 0.684 0.123
Sc 0.632 0.119 0.502
Er 0.388 0.652 0.782
Pr 0.250 0.553 0.447
Er 0.888 0.782 0.652
Er 0.425 0.027 0.164



A plane-wave DFT calculation with PBE was carried out for a geometry-optimized Tb5CdAg4 structure.

Calculated values
D(E_F) ... 5.818 states/eV/f.u.
SG ... P4/mmm (123)
Energy of formation from the pure elements ... -0.316 eV per atom

Cell: 3.661 3.661 18.446 Å, 90.00 90.00 90.00°
Positions (direct):
Cd 0.000 0.000 0.000
Tb 0.500 0.500 0.302
Ag 0.000 0.000 0.798
Ag 0.000 0.000 0.402
Ag 0.000 0.000 0.202
Tb 0.500 0.500 0.500
Ag 0.000 0.000 0.598
Tb 0.500 0.500 0.698
Tb 0.500 0.500 0.105
Tb 0.500 0.500 0.895



A plane-wave DFT calculation with PBE was carried out for a geometry-optimized TlGaO2 structure.

Calculated values
D(E_F) ... 0.000 states/eV/f.u.
SG ... Pnma (62)
Uncorrected formation energy ... -1266 meV per atom

Cell: 5.957 4.137 9.527 Å, 90.00 90.00 90.00°
Positions (direct):
Tl 0.001 0.250 0.128
Ga 0.000 0.750 0.379
O 0.751 0.250 0.750
O 0.998 0.250 0.419
O 0.249 0.750 0.250
Ga 0.500 0.750 0.121
O 0.002 0.750 0.581
Tl 0.501 0.250 0.372
O 0.251 0.250 0.750
Ga 0.000 0.250 0.621
O 0.749 0.750 0.250
O 0.498 0.250 0.081
Tl 0.499 0.750 0.628
Tl 0.999 0.750 0.872
Ga 0.500 0.250 0.879
O 0.502 0.750 0.919



A plane-wave DFT calculation with PBE was carried out for a geometry-optimized ScTcAg2 structure.

Calculated values
D(E_F) ... 3.372 states/eV/f.u.
SG ... Cmm2 (35)
Energy of formation from the pure elements ... 0.141 eV per atom

Cell: 2.850 2.850 9.060 Å, 90.00 90.00 105.54°
Positions (direct):
Tc 0.500 0.500 0.742
Ag 0.500 0.500 0.249
Sc 0.000 0.000 0.517
Ag 0.000 0.000 0.992



A plane-wave DFT calculation with PBE was carried out for a geometry-optimized K2MnPb structure.

Calculated values
D(E_F) ... 4.877 states/eV/f.u.
SG ... P4/mmm (123)
Energy of formation from the pure elements ... 0.570 eV per atom

Cell: 3.519 3.519 11.346 Å, 90.00 90.00 90.03°
Each line ends with the local moment (μB).
Positions (direct):
K 0.000 0.000 0.000  -0.01
Pb 0.500 0.500 0.750  0.00
K 0.000 0.000 0.500  -0.01
Mn 0.500 0.500 0.250  4.22



A plane-wave DFT calculation with PBE was carried out for a geometry-optimized NaTcO2F structure.

Calculated values
D(E_F) ... 1.758 states/eV/f.u.
SG ... P4/mmm (123)
Uncorrected formation energy ... -1674 meV per atom

Cell: 3.816 3.816 4.462 Å, 90.00 90.00 90.00°
Positions (direct):
Na 0.500 0.500 0.500
Tc 0.000 0.000 0.000
F 0.000 0.000 0.500
O 0.500 0.000 0.000
O 0.000 0.500 0.000



A plane-wave DFT calculation with PBE was carried out for a geometry-optimized TiFePd5 structure.

Calculated values
D(E_F) ... 5.157 states/eV/f.u.
SG ... C2/c (15)
Energy of formation from the pure elements ... -0.138 eV per atom

Cell: 5.391 5.391 10.667 Å, 60.56 60.56 63.43°
Each line ends with the local moment (μB).
Positions (direct):
Pd 0.439 0.285 0.986  0.07
Pd 0.561 0.715 0.014  0.07
Pd 0.435 0.094 0.739  0.13
Fe 0.000 0.000 0.500  3.30
Pd 0.715 0.561 0.514  0.07
Pd 0.285 0.439 0.486  0.07
Pd 0.906 0.565 0.761  0.13
Pd 0.565 0.906 0.261  0.13
Ti 0.362 0.638 0.750  -0.11
Pd 0.075 0.925 0.250  0.12
Pd 0.925 0.075 0.750  0.12
Pd 0.094 0.435 0.239  0.13
Ti 0.638 0.362 0.250  -0.11
Fe 0.000 0.000 0.000  3.30



A plane-wave DFT calculation with PBE was carried out for a geometry-optimized RbScB2H8 structure.

Calculated values
D(E_F) ... 1.115 states/eV/f.u.
SG ... R-3m (166)
Energy ... -4.1743 eV per atom

Cell: 4.030 4.030 8.284 Å, 75.92 75.92 60.00°
Positions (direct):
H 0.216 0.216 0.352
H 0.547 0.548 0.856
H 0.950 0.453 0.144
H 0.548 0.050 0.856
H 0.453 0.452 0.144
H 0.452 0.950 0.144
H 0.050 0.547 0.856
B 0.733 0.733 0.802
B 0.267 0.267 0.198
H 0.784 0.784 0.648
Sc 0.000 0.000 0.000
Rb 0.500 0.500 0.500



A plane-wave DFT calculation with PBE was carried out for a geometry-optimized AcPm2SmTm5 structure.

Calculated values
D(E_F) ... 9.802 states/eV/f.u.
SG ... I4/mcm (140)
Energy of formation from the pure elements ... 0.254 eV per atom

Cell: 8.796 8.796 9.932 Å, 116.28 116.28 90.00°
Positions (direct):
Tm 0.000 0.000 0.000
Tm 0.575 0.661 0.736
Pm 0.616 0.116 0.000
Pm 0.884 0.616 0.000
Tm 0.661 0.161 0.736
Ac 0.750 0.750 0.500
Tm 0.925 0.425 0.264
Tm 0.839 0.925 0.264
Ac 0.250 0.250 0.500
Tm 0.500 0.500 0.000
Sm 0.750 0.250 0.500
Tm 0.161 0.075 0.736
Pm 0.384 0.884 0.000
Tm 0.075 0.575 0.736
Sm 0.250 0.750 0.500
Pm 0.116 0.384 0.000
Tm 0.339 0.839 0.264
Tm 0.425 0.339 0.264



A plane-wave DFT calculation with PBE was carried out for a geometry-optimized Tb3Pm6Y2Pu structure.

Calculated values
D(E_F) ... 23.257 states/eV/f.u.
SG ... C2/m (12)
Energy of formation from the pure elements ... 0.046 eV per atom

Cell: 6.243 6.243 11.841 Å, 95.05 95.05 120.02°
Each line ends with the local moment (μB).
Positions (direct):
Pm 0.246 0.246 0.752  0.03
Y 0.333 0.667 0.000  0.11
Pm 0.917 0.588 0.751  0.03
Tb 0.833 0.167 0.500  -0.04
Pm 0.588 0.917 0.751  0.03
Tb 0.500 0.500 0.500  -0.04
Pu 0.000 0.000 0.000  5.61
Tb 0.167 0.833 0.500  -0.04
Pm 0.412 0.083 0.249  0.03
Pm 0.754 0.754 0.248  0.03
Y 0.667 0.333 0.000  0.11
Pm 0.083 0.412 0.249  0.03



A plane-wave DFT calculation with PBE was carried out for a geometry-optimized Sm2PbBr structure.

Calculated values
D(E_F) ... 2.120 states/eV/f.u.
SG ... Amm2 (38)
Uncorrected formation energy ... -590 meV per atom

Cell: 5.293 5.288 6.133 Å, 90.00 90.00 120.38°
Positions (direct):
Br 0.403 0.828 0.130
Sm 0.403 0.828 0.630
Pb 0.735 0.497 0.630
Sm 0.736 0.496 0.130



A plane-wave DFT calculation with PBE was carried out for a geometry-optimized Sr2EuAl structure.

Calculated values
D(E_F) ... 4.248 states/eV/f.u.
SG ... P4/mmm (123)
Energy of formation from the pure elements ... -0.021 eV per atom

Cell: 3.942 3.942 10.359 Å, 90.00 90.00 90.00°
Each line ends with the local moment (μB).
Positions (direct):
Eu 0.500 0.500 0.500  7.04
Al 0.500 0.500 0.000  0.01
Sr 0.000 0.000 0.811  0.03
Sr 0.000 0.000 0.189  0.03



A plane-wave DFT calculation with PBE was carried out for a geometry-optimized Nd2Bi2Pt15 structure.

Calculated values
D(E_F) ... 14.377 states/eV/f.u.
SG ... R-3m (166)
Energy of formation from the pure elements ... -0.447 eV per atom

Cell: 7.126 7.126 7.126 Å, 83.79 83.79 83.79°
Positions (direct):
Pt 0.338 0.338 0.823
Pt 0.823 0.338 0.338
Bi 0.893 0.893 0.893
Nd 0.642 0.642 0.642
Pt 0.000 0.500 0.000
Pt 0.000 0.000 0.500
Bi 0.107 0.107 0.107
Pt 0.000 0.665 0.335
Pt 0.662 0.662 0.177
Pt 0.662 0.177 0.662
Pt 0.335 0.665 0.000
Pt 0.665 0.335 0.000
Pt 0.338 0.823 0.338
Pt 0.177 0.662 0.662
Pt 0.500 0.000 0.000
Nd 0.358 0.358 0.358
Pt 0.000 0.335 0.665
Pt 0.335 0.000 0.665
Pt 0.665 0.000 0.335



A plane-wave DFT calculation with PBE was carried out for a geometry-optimized GaCuB2Pb structure.

Calculated values
D(E_F) ... 2.051 states/eV/f.u.
SG ... P4/mmm (123)
Energy of formation from the pure elements ... 1.121 eV per atom

Cell: 3.953 5.772 3.953 Å, 90.00 90.00 90.00°
Positions (direct):
Cu 0.000 0.000 0.000
Pb 0.000 0.500 0.000
Ga 0.500 0.500 0.500
B 0.000 0.000 0.500
B 0.500 0.000 0.000



A plane-wave DFT calculation with PBE was carried out for a geometry-optimized Rb2YTlCl6 structure.

Calculated values
D(E_F) ... 0.000 states/eV/f.u.
SG ... Fm-3m (225)
Uncorrected formation energy ... -1899 meV per atom

Cell: 8.082 8.082 8.082 Å, 60.00 60.00 60.00°
Positions (direct):
Rb 0.750 0.750 0.750
Cl 0.231 0.769 0.231
Rb 0.250 0.250 0.250
Cl 0.769 0.769 0.231
Y 0.000 0.000 0.000
Cl 0.231 0.769 0.769
Cl 0.769 0.231 0.769
Cl 0.231 0.231 0.769
Tl 0.500 0.500 0.500
Cl 0.769 0.231 0.231



A plane-wave DFT calculation with PBE was carried out for a geometry-optimized CaIn2Pd2 structure.

Calculated values
D(E_F) ... 2.065 states/eV/f.u.
SG ... P4/mbm (127)
Energy of formation from the pure elements ... -0.518 eV per atom

Cell: 8.060 8.060 3.172 Å, 90.00 90.00 90.00°
Positions (direct):
Pd 0.829 0.329 0.500
In 0.628 0.128 0.000
Pd 0.329 0.171 0.500
In 0.128 0.372 0.000
Ca 0.000 0.000 0.000
Pd 0.671 0.829 0.500
Ca 0.500 0.500 0.000
In 0.872 0.628 0.000
In 0.372 0.872 0.000
Pd 0.171 0.671 0.500



A plane-wave DFT calculation with PBE was carried out for a geometry-optimized SrIr2Pb structure.

Calculated values
D(E_F) ... 4.395 states/eV/f.u.
SG ... Pmm2 (25)
Energy of formation from the pure elements ... 0.179 eV per atom

Cell: 3.109 3.837 7.678 Å, 90.00 90.00 90.00°
Positions (direct):
Sr 0.500 0.500 0.798
Pb 0.000 0.000 0.441
Ir 0.000 0.000 0.067
Ir 0.500 0.500 0.194



A plane-wave DFT calculation with PBE was carried out for a geometry-optimized YTc2W2 structure.

Calculated values
D(E_F) ... 3.046 states/eV/f.u.
SG ... I4/mmm (139)
Energy of formation from the pure elements ... 0.100 eV per atom

Cell: 4.316 4.316 6.119 Å, 69.35 69.35 90.00°
Positions (direct):
Tc 0.622 0.622 0.757
Y 0.000 0.000 0.000
W 0.750 0.250 0.500
W 0.250 0.750 0.500
Tc 0.378 0.378 0.243



A plane-wave DFT calculation with PBE was carried out for a geometry-optimized Y5In2H structure.

Calculated values
D(E_F) ... 9.058 states/eV/f.u.
SG ... I4mm (107)
Energy ... -5.3565 eV per atom

Cell: 6.961 6.961 6.667 Å, 121.48 121.48 89.98°
Positions (direct):
In 0.253 0.753 0.507
Y 0.751 0.751 0.004
Y 0.757 0.757 0.513
In 0.753 0.253 0.507
Y 0.254 0.254 0.004
Y 0.254 0.751 0.004
Y 0.751 0.254 0.004
H 0.005 0.005 0.009



A plane-wave DFT calculation with PBE was carried out for a geometry-optimized TbCuTe2 structure.

Calculated values
D(E_F) ... 0.107 states/eV/f.u.
SG ... R3m (160)
Uncorrected formation energy ... -700 meV per atom

Cell: 4.169 4.169 7.416 Å, 73.67 73.67 60.00°
Positions (direct):
Cu 0.665 0.665 0.006
Te 0.073 0.073 0.780
Tb 0.502 0.502 0.495
Te 0.261 0.261 0.218



A plane-wave DFT calculation with PBE was carried out for a geometry-optimized Cr2HgBr structure.

Calculated values
D(E_F) ... 2.445 states/eV/f.u.
SG ... Immm (71)
Uncorrected formation energy ... 564 meV per atom

Cell: 5.645 5.645 5.645 Å, 145.42 115.34 75.44°
Each line ends with the local moment (μB).
Positions (direct):
Hg 0.750 0.250 0.500  0.03
Br 0.250 0.750 0.500  0.05
Cr 0.489 0.489 0.000  3.94
Cr 0.011 0.011 0.000  3.94



A plane-wave DFT calculation with PBE was carried out for a geometry-optimized AcLaCeAg structure.

Calculated values
D(E_F) ... 10.689 states/eV/f.u.
SG ... F-43m (216)
Energy of formation from the pure elements ... 0.201 eV per atom

Cell: 5.628 5.628 5.628 Å, 60.00 60.00 60.00°
Each line ends with the local moment (μB).
Positions (direct):
Ce 0.500 0.500 0.500  0.99
Ac 0.750 0.750 0.750  0.25
Ag 0.250 0.250 0.250  0.01
La 0.000 0.000 0.000  0.19



A plane-wave DFT calculation with PBE was carried out for a geometry-optimized BaP2ICl structure.

Calculated values
D(E_F) ... 8.895 states/eV/f.u.
SG ... P4/mmm (123)
Uncorrected formation energy ... 427 meV per atom

Cell: 6.585 6.585 5.769 Å, 90.00 90.00 90.00°
Each line ends with the local moment (μB).
Positions (direct):
P 0.000 0.500 0.000  0.98
Cl 0.000 0.000 0.500  0.03
Ba 0.000 0.000 0.000  0.07
I 0.500 0.500 0.500  -0.13
P 0.500 0.000 0.000  0.98



A plane-wave DFT calculation with PBE was carried out for a geometry-optimized BaLi2Sc structure.

Calculated values
D(E_F) ... 5.979 states/eV/f.u.
SG ... Pmmm (47)
Energy of formation from the pure elements ... 0.230 eV per atom

Cell: 3.855 3.899 8.829 Å, 63.81 90.00 90.00°
Each line ends with the local moment (μB).
Positions (direct):
Li 0.000 0.942 0.058  0.01
Li 0.000 0.558 0.442  0.01
Sc 0.500 0.250 0.250  0.15
Ba 0.500 0.750 0.750  0.01